Below is a geometry-optimized CuAu2 structure, with properties calculated at the GGA-PBE level. Values from VASP.

```
&SYSTEM
  ibrav = 0, nat = 9, ntyp = 2
/
ATOMIC_SPECIES
Cu 63.55 Cu.upf
Au 196.97 Au.upf
CELL_PARAMETERS angstrom
7.5610 0.0000 0.0000
-3.7805 6.5480 0.0000
0.0000 0.0000 2.9518
ATOMIC_POSITIONS crystal
Cu 0.0000 0.0000 0.0000
Cu 0.3333 0.6667 0.5000
Cu 0.6667 0.3333 0.5000
Au 0.0000 0.2954 0.5000
Au 0.0000 0.6289 0.0000
Au 0.2954 0.0000 0.5000
Au 0.3711 0.3711 0.0000
Au 0.6289 0.0000 0.0000
Au 0.7046 0.7046 0.5000
```

Computed properties:
Total DFT energy (no corrections) ... -32.0 eV per cell
V ... 16.2 A^3/atom
Spin magnetization ... 0.000 μB/atom
Formation enthalpy at 0 K ... -5 meV per atom
ΔE to the lowest computed polymorph ... 38.0 meV/atom
Fermi-level density of states ... 0.493 states/eV/atom